Computed, not measured: a relaxed structure of Tl2V3AgF12 at the PBE with a Hubbard U level of DFT.

Unit cell a=7.4050 b=7.4050 c=7.4050 alpha=62.10 beta=62.10 gamma=62.10
Last column: nearest neighbours and their distance in Å.
Fractional coordinates of all 18 atoms:
1 Tl 0.1296 0.1296 0.1296  3 F 2.68
2 Tl 0.8704 0.8704 0.8704  3 F 2.68
3 V 0.0000 0.5000 0.5000  6 F 1.93-2.00
4 V 0.5000 0.0000 0.5000  6 F 1.93-2.00
5 V 0.5000 0.5000 0.0000  6 F 1.93-2.00
6 Ag 0.5000 0.5000 0.5000  6 F 2.57
7 F 0.0868 0.6186 0.6186  1 V 1.93
8 F 0.2135 0.2135 0.5938  2 V 2.00
9 F 0.2135 0.5938 0.2135  2 V 2.00
10 F 0.3814 0.3814 0.9132  1 V 1.93
11 F 0.3814 0.9132 0.3814  1 V 1.93
12 F 0.4062 0.7865 0.7865  2 V 2.00
13 F 0.5938 0.2134 0.2135  2 V 2.00
14 F 0.6186 0.0868 0.6186  1 V 1.93
15 F 0.6186 0.6186 0.0868  1 V 1.93
16 F 0.7865 0.4062 0.7865  2 V 2.00
17 F 0.7865 0.7866 0.4062  2 V 2.00
18 F 0.9132 0.3814 0.3814  1 V 1.93

- magnetic moment (μB per cell) = 6.00
- calculated total energy (eV per cell) = -96.842
- D(E_F) (states/eV/atom) = 0.0000